VASP calculation (PBE-GGA) on crystalline Ac2TbPN5 at its relaxed geometry.

Symmetry ... I4/mcm
Magnetization ... 0.002 μB/f.u.
E_form (uncorrected) ... -982 meV per atom

Cell and atoms, written as extended XYZ:
```
18
Lattice="-2.166 -6.138 2.568 0.687 -2.893 -6.335 5.967 3.166 3.067" Properties=species:S:1:pos:R:3 pbc="T T T"
Ac -0.172 -2.033 -1.560
Ac -1.350 -4.700 0.604
Ac -0.129 -4.331 -4.370
Ac -1.308 -6.999 -2.207
Tb 2.614 -0.675 0.592
Tb 1.874 -5.191 -1.291
P 2.957 -2.121 -2.576
P 1.531 -3.744 1.876
N 2.222 -0.668 -2.281
N 2.663 -2.773 2.593
N 2.266 -5.198 1.582
N 4.275 -1.927 -3.560
N 3.508 -2.798 -1.169
N 0.214 -3.939 2.860
N 0.980 -3.067 0.469
N 1.825 -3.093 -3.293
N -0.740 -4.516 -1.883
N 0.000 0.000 0.000
```

=====

VASP calculation (PBE-GGA) on crystalline Y4CuPd2 at its relaxed geometry.

Final energy ... -6.29 eV per atom
Symmetry ... R-3m
Magnetization ... 0.000 μB/f.u.

Cell and atoms, written as extended XYZ:
```
7
Lattice="4.716 0.000 1.474 2.128 4.209 1.474 -0.076 -0.046 8.527" Properties=species:S:1:pos:R:3 pbc="T T T"
Y 5.959 3.664 5.782
Y 0.810 0.498 5.692
Y 4.266 2.624 2.914
Y 2.502 1.539 8.560
Pd 5.082 3.125 8.589
Pd 1.687 1.038 2.885
Cu 0.000 0.000 0.000
```

=====

VASP calculation (PBE-GGA) on crystalline Sc2MnHg at its relaxed geometry.

Final energy ... -5.63 eV per atom
Symmetry ... Pm
Magnetization ... 3.024 μB/f.u.

Cell and atoms, written as extended XYZ:
```
4
Lattice="4.693 0.000 0.000 0.000 3.274 -0.003 0.000 0.814 5.324" Properties=species:S:1:pos:R:3 pbc="T T T"
Hg 0.000 2.542 2.474
Mn 2.346 2.566 4.184
Sc 0.000 0.848 4.938
Sc 2.346 0.989 1.709
```

=====

VASP calculation (PBE-GGA) on crystalline La2MgHg at its relaxed geometry.

Symmetry ... P4/mmm
E above lowest polymorph ... 0.20 kcal/mol of atoms
Magnetization ... 0.002 μB/f.u.

Cell and atoms, written as extended XYZ:
```
4
Lattice="-3.577 -0.794 1.479 -1.237 -1.111 -3.587 2.242 -7.316 1.494" Properties=species:S:1:pos:R:3 pbc="T T T"
Mg -1.846 -2.782 -0.680
Hg -0.725 -6.439 0.066
La 2.236 -7.299 1.490
La 1.126 -3.675 0.750
```

=====

VASP calculation (PBE-GGA) on crystalline AlTlTc2 at its relaxed geometry.

Symmetry ... Immm
E above lowest polymorph ... 7.08 kcal/mol of atoms
Magnetization ... 0.727 μB/f.u.

Cell and atoms, written as extended XYZ:
```
4
Lattice="5.268 0.001 0.013 2.189 4.791 -0.013 -3.148 -3.299 2.637" Properties=species:S:1:pos:R:3 pbc="T T T"
Tl 2.924 -0.451 1.325
Tc 0.155 0.099 0.000
Tc 3.574 2.296 0.000
Al 1.385 1.944 1.312
```

=====

VASP calculation (PBE-GGA) on crystalline TcRh2 at its relaxed geometry.

Symmetry ... P6_3/mmc
E above lowest polymorph ... 6.79 kcal/mol of atoms
Magnetization ... 0.005 μB/f.u.

Cell and atoms, written as extended XYZ:
```
6
Lattice="2.171 -3.760 0.000 2.171 3.760 0.000 0.000 0.000 5.364" Properties=species:S:1:pos:R:3 pbc="T T T"
Tc 2.171 1.253 4.023
Tc 2.171 -1.253 1.341
Rh 0.000 0.000 0.000
Rh 0.000 0.000 2.682
Rh 2.171 1.253 1.341
Rh 2.171 -1.253 4.023
```

=====

VASP calculation (PBE-GGA) on crystalline ZnSi2Bi at its relaxed geometry.

Symmetry ... Fm-3m
E above lowest polymorph ... 4.48 kcal/mol of atoms
Magnetization ... 0.000 μB/f.u.
E_form (uncorrected) ... 621 meV per atom

Cell and atoms, written as extended XYZ:
```
4
Lattice="0.000 3.459 3.459 3.459 0.000 3.459 3.459 3.459 0.000" Properties=species:S:1:pos:R:3 pbc="T T T"
Zn 0.000 0.000 0.000
Si 1.730 1.730 1.730
Si 5.189 5.189 5.189
Bi 3.459 3.459 3.459
```

=====

VASP calculation (PBE-GGA) on crystalline ZrAgSeN2 at its relaxed geometry.

Symmetry ... P4/mmm
E above lowest polymorph ... 19.64 kcal/mol of atoms
Magnetization ... 0.004 μB/f.u.
E_form (uncorrected) ... 1284 meV per atom

Cell and atoms, written as extended XYZ:
```
5
Lattice="-3.887 1.149 0.583 -0.011 -1.881 3.637 1.526 4.088 2.119" Properties=species:S:1:pos:R:3 pbc="T T T"
Se 0.763 2.044 1.060
Zr -1.186 1.678 3.170
Ag 0.000 0.000 0.000
N -0.005 -0.941 1.819
N -1.944 0.574 0.291
```